[1]
Crystalline FeHgC3 at its relaxed geometry, computed with GGA-PBE.

The energy of formation from the pure elements is 3.938 eV/atom. As for the total magnetization: 0.23 μB per cell.

The space group is Pm-3m (No. 221) and the conventional cell measures 4.200, 4.200 and 4.200 Å, with angles of 90.00, 90.00 and 90.00 degrees. The asymmetric unit holds Fe at (0.000, 0.000, 0.000), Hg at (0.500, 0.500, 0.500) and C at (0.000, 0.500, 0.500).

---

[2]
Crystalline FeHgC3 at its relaxed geometry, computed with GGA-PBE.

The energy of formation from the pure elements is 2.084 eV/atom. As for the total magnetization: 0.97 μB per cell.

The space group is Pm-3m (No. 221) and the conventional cell measures 3.866, 3.866 and 3.866 Å, with angles of 90.00, 90.00 and 90.00 degrees. The asymmetric unit holds Fe at (0.000, 0.000, 0.000), Hg at (0.500, 0.500, 0.500) and C at (0.000, 0.000, 0.500).

---

[3]
Crystalline Ho2FeHgC at its relaxed geometry, computed with GGA-PBE.

The energy of formation from the pure elements is -0.386 eV/atom. As for the total magnetization: 0.07 μB per cell.

The space group is P4/mmm (No. 123) and the conventional cell measures 5.005, 5.005 and 3.711 Å, with angles of 90.00, 90.00 and 90.00 degrees. The asymmetric unit holds Ho at (0.000, 0.500, 0.000), Fe at (0.000, 0.000, 0.500), Hg at (0.500, 0.500, 0.500) and C at (0.000, 0.000, 0.000).

---

[4]
Crystalline FeHgC4S4N4 at its relaxed geometry, computed with GGA-PBE.

As for the total magnetization: 8.00 μB per cell. Its final energy is -92.823 eV per formula unit.

The space group is I-4 (No. 82) and the conventional cell measures 11.228, 11.228 and 5.285 Å, with angles of 90.00, 90.00 and 90.00 degrees. The asymmetric unit holds Fe at (0.000, 0.000, 0.000), Hg at (0.000, 0.500, 0.750), C at (0.063, 0.218, 0.658), S at (0.098, 0.330, 0.476) and N at (0.039, 0.135, 0.786).

---

[5]
Crystalline FeNi2HgC at its relaxed geometry, computed with GGA-PBE.

The energy of formation from the pure elements is 0.177 eV/atom. As for the total magnetization: 1.64 μB per cell.

The space group is P4/mmm (No. 123) and the conventional cell measures 3.916, 3.916 and 3.862 Å, with angles of 90.00, 90.00 and 90.00 degrees. The asymmetric unit holds Fe at (0.000, 0.000, 0.000), Ni at (0.000, 0.500, 0.500), Hg at (0.500, 0.500, 0.000) and C at (0.000, 0.000, 0.500).

---

[6]
Crystalline Fe2NiHgC at its relaxed geometry, computed with GGA-PBE.

The energy of formation from the pure elements is 0.198 eV/atom. As for the total magnetization: 4.30 μB per cell.

The space group is P4/mmm (No. 123) and the conventional cell measures 3.901, 3.901 and 3.945 Å, with angles of 90.00, 90.00 and 90.00 degrees. The asymmetric unit holds Fe at (0.000, 0.500, 0.000), Ni at (0.000, 0.000, 0.500), Hg at (0.500, 0.500, 0.500) and C at (0.000, 0.000, 0.000).

---

[7]
Crystalline Sc2FeHgC at its relaxed geometry, computed with GGA-PBE.

The energy of formation from the pure elements is -0.436 eV/atom. As for the total magnetization: 0.11 μB per cell.

The space group is P4/mmm (No. 123) and the conventional cell measures 4.644, 4.644 and 3.694 Å, with angles of 90.00, 90.00 and 90.00 degrees. The asymmetric unit holds Sc at (0.000, 0.500, 0.000), Fe at (0.000, 0.000, 0.500), Hg at (0.500, 0.500, 0.500) and C at (0.000, 0.000, 0.000).

---

[8]
Crystalline TaFe2HgC at its relaxed geometry, computed with GGA-PBE.

The energy of formation from the pure elements is 0.846 eV/atom. As for the total magnetization: 1.41 μB per cell.

The space group is P4/mmm (No. 123) and the conventional cell measures 3.883, 3.883 and 4.516 Å, with angles of 90.00, 90.00 and 90.00 degrees. The asymmetric unit holds Ta at (0.000, 0.000, 0.000), Fe at (0.000, 0.500, 0.500), Hg at (0.500, 0.500, 0.000) and C at (0.500, 0.500, 0.500).

---

[9]
Crystalline YFeHg2C at its relaxed geometry, computed with GGA-PBE.

The energy of formation from the pure elements is 1.390 eV/atom. As for the total magnetization: 3.23 μB per cell.

The space group is P4/mmm (No. 123) and the conventional cell measures 4.942, 4.942 and 4.999 Å, with angles of 90.00, 90.00 and 90.00 degrees. The asymmetric unit holds Y at (0.000, 0.000, 0.000), Fe at (0.000, 0.000, 0.500), Hg at (0.000, 0.500, 0.500) and C at (0.500, 0.500, 0.000).

---

[10]
Crystalline Zr2FeHgC at its relaxed geometry, computed with GGA-PBE.

The energy of formation from the pure elements is -0.307 eV/atom. As for the total magnetization: 1.64 μB per cell.

The space group is P4/mmm (No. 123) and the conventional cell measures 4.656, 4.656 and 3.821 Å, with angles of 90.00, 90.00 and 90.00 degrees. The asymmetric unit holds Zr at (0.000, 0.500, 0.000), Fe at (0.000, 0.000, 0.500), Hg at (0.500, 0.500, 0.500) and C at (0.000, 0.000, 0.000).

---

[11]
Crystalline Ho2Fe5C4 at its relaxed geometry, computed with GGA-PBE.

The energy of formation from the pure elements is -0.199 eV/atom. As for the total magnetization: 0.00 μB per cell.

The space group is Fmmm (No. 69) and the conventional cell measures 4.964, 9.216 and 10.272 Å, with angles of 90.00, 90.00 and 90.00 degrees. The asymmetric unit holds Ho at (0.000, 0.000, 0.147), Fe at (0.000, 0.000, 0.500), Fe at (0.250, 0.250, 0.000), Fe at (0.250, 0.250, 0.250) and C at (0.000, 0.160, 0.369).

---

[12]
Crystalline Ho12Fe5C15 at its relaxed geometry, computed with GGA-PBE.

The energy of formation from the pure elements is -0.344 eV/atom. As for the total magnetization: 3.03 μB per cell.

The space group is P-62m (No. 189) and the conventional cell measures 10.3877, 10.3877 and 5.0237 Å, with angles of 90.00, 90.00 and 120.00 degrees. The asymmetric unit holds Ho at (0.0000, 0.4347, 0.0000), Ho at (0.0000, 0.7923, 0.0000), Ho at (0.1843, 0.7301, 0.5000), Fe at (0.0000, 0.1556, 0.5000), Fe at (0.3333, 0.6667, 0.0000), C at (0.0000, 0.3250, 0.5000), C at (0.0000, 0.4543, 0.5000), C at (0.0000, 0.8011, 0.5000) and C at (0.1911, 0.7164, 0.0000).

---

[13]
Crystalline HoFe12C6 at its relaxed geometry, computed with GGA-PBE.

The energy of formation from the pure elements is 0.020 eV/atom. As for the total magnetization: 0.01 μB per cell.

The space group is R-3m (No. 166, hexagonal axes) and the conventional cell measures 9.1464, 9.1464 and 7.4227 Å, with angles of 90.00, 90.00 and 120.00 degrees. The asymmetric unit holds Ho at (0.0000, 0.0000, 0.0000), Fe at (0.0000, 0.3651, 0.5000), Fe at (0.0900, 0.1799, 0.3669) and C at (0.0408, 0.5204, 0.2898).

---

[14]
Crystalline Ho3FeC3 at its relaxed geometry, computed with GGA-PBE.

The energy of formation from the pure elements is -0.284 eV/atom. As for the total magnetization: 1.63 μB per cell.

The space group is Cmcm (No. 63) and the conventional cell measures 8.416, 10.221 and 5.041 Å, with angles of 90.00, 90.00 and 90.00 degrees. The asymmetric unit holds Ho at (0.000, 0.108, 0.250), Ho at (0.213, 0.379, 0.250), Fe at (0.000, 0.302, 0.750), C at (0.000, 0.123, 0.750) and C at (0.198, 0.370, 0.750).

---

[15]
Crystalline Ho2FeC at its relaxed geometry, computed with GGA-PBE.

The energy of formation from the pure elements is 0.358 eV/atom. As for the total magnetization: 5.75 μB per cell.

The space group is R-3m (No. 166, hexagonal axes) and the conventional cell measures 3.4493, 3.4493 and 24.6449 Å, with angles of 90.00, 90.00 and 120.00 degrees. The asymmetric unit holds Ho at (0.0000, 0.0000, 0.1118), Fe at (0.0000, 0.0000, 0.0000) and C at (0.0000, 0.0000, 0.5000).

---

[16]
Crystalline HoFe5C2 at its relaxed geometry, computed with GGA-PBE.

The energy of formation from the pure elements is 0.001 eV/atom. As for the total magnetization: 17.53 μB per cell.

The space group is Immm (No. 71) and the conventional cell measures 3.347, 6.387 and 8.249 Å, with angles of 90.00, 90.00 and 90.00 degrees. The asymmetric unit holds Ho at (0.000, 0.000, 0.000), Fe at (0.000, 0.187, 0.337), Fe at (0.000, 0.500, 0.000) and C at (0.000, 0.500, 0.247).

---

[17]
Crystalline Ho2FeC4 at its relaxed geometry, computed with GGA-PBE.

The energy of formation from the pure elements is -0.302 eV/atom. As for the total magnetization: 0.00 μB per cell.

The space group is Ibam (No. 72) and the conventional cell measures 7.463, 9.568 and 5.018 Å, with angles of 90.00, 90.00 and 90.00 degrees. The asymmetric unit holds Ho at (0.156, 0.144, 0.000), Fe at (0.000, 0.500, 0.250), C at (0.162, 0.129, 0.500) and C at (0.166, 0.422, 0.000).

---

[18]
Crystalline Ho4Fe3C5 at its relaxed geometry, computed with GGA-PBE.

The energy of formation from the pure elements is -0.238 eV/atom. As for the total magnetization: 5.37 μB per cell.

The space group is C2/m (No. 12) and the conventional cell measures 11.148, 3.714 and 9.460 Å, with angles of 90.00, 114.77 and 90.00 degrees. The asymmetric unit holds Ho at (0.105, 0.000, 0.397), Ho at (0.245, 0.500, 0.169), Fe at (0.000, 0.000, 0.000), Fe at (0.044, 0.500, 0.834), C at (0.000, 0.500, 0.000), C at (0.103, 0.500, 0.683) and C at (0.186, 0.500, 0.611).

---

[19]
Crystalline LiHoFeC at its relaxed geometry, computed with GGA-PBE.

The energy of formation from the pure elements is -0.070 eV/atom. As for the total magnetization: 0.00 μB per cell.

The space group is P4/nmm (No. 129, origin choice 2) and the conventional cell measures 3.401, 3.401 and 10.504 Å, with angles of 90.00, 90.00 and 90.00 degrees. The asymmetric unit holds Li at (0.250, 0.750, 0.000), Ho at (0.250, 0.250, 0.281), Fe at (0.250, 0.750, 0.500) and C at (0.250, 0.250, 0.598).

---

[20]
Crystalline HoMnFeC2 at its relaxed geometry, computed with GGA-PBE.

The energy of formation from the pure elements is -0.199 eV/atom. As for the total magnetization: 1.62 μB per cell.

The space group is I-4m2 (No. 119) and the conventional cell measures 3.484, 3.484 and 9.473 Å, with angles of 90.00, 90.00 and 90.00 degrees. The asymmetric unit holds Ho at (0.000, 0.000, 0.000), Mn at (0.000, 0.500, 0.750), Fe at (0.000, 0.500, 0.250) and C at (0.000, 0.000, 0.340).